Entry 1:
{
  "formula": "Tb2Y3Er2",
  "functional": "PBE",
  "state": "relaxed",
  "cell": [[8.698, -1.746, 0.000], [8.698, 1.746, 0.000], [-4.167, 0.000, 7.437]],
  "species": ["Tb", "Tb", "Y", "Y", "Y", "Er", "Er"],
  "frac_coords": [[0.065, 0.065, 0.410], [0.935, 0.935, 0.590], [0.288, 0.288, 0.700], [0.500, 0.500, 0.000], [0.712, 0.712, 0.300], [0.353, 0.353, 0.175], [0.647, 0.647, 0.825]],
  "m_tot_mub_per_fu": 0.0,
  "relative_energy_mev_per_atom": 78,
  "spacegroup": "No. 12",
  "volume_a3_per_fu": 226
}

---

Entry 2:
{
  "formula": "TmAg2Pb",
  "functional": "PBE",
  "state": "relaxed",
  "cell": [[3.290, 0.000, 0.000], [0.000, 4.848, 0.000], [-0.007, 0.000, 5.936]],
  "species": ["Tm", "Ag", "Ag", "Pb"],
  "frac_coords": [[0.000, 0.000, 0.000], [0.499, 0.500, 0.771], [0.501, 0.500, 0.229], [0.500, 0.000, 0.500]],
  "m_tot_mub_per_fu": 0.0,
  "energy_ev_per_atom": -3.61,
  "spacegroup": "No. 10",
  "volume_a3_per_fu": 95
}

---

Entry 3:
{
  "formula": "Pr3Pd4Au2",
  "functional": "PBE",
  "state": "relaxed",
  "cell": [[4.927, -2.382, 0.000], [4.927, 2.382, 0.000], [-1.561, 0.000, 8.603]],
  "species": ["Pr", "Pr", "Pr", "Pd", "Pd", "Pd", "Pd", "Au", "Au"],
  "frac_coords": [[0.000, 0.000, 0.000], [0.383, 0.383, 0.624], [0.617, 0.617, 0.376], [0.083, 0.083, 0.642], [0.292, 0.292, 0.924], [0.708, 0.708, 0.076], [0.917, 0.917, 0.358], [0.286, 0.286, 0.246], [0.714, 0.714, 0.754]],
  "m_tot_mub_per_fu": 0.0,
  "relative_energy_mev_per_atom": 0,
  "spacegroup": "No. 12",
  "volume_a3_per_fu": 202
}

---

Entry 4:
{
  "formula": "Ce2Al3PdPt4",
  "functional": "PBE",
  "state": "relaxed",
  "cell": [[4.054, 0.000, 0.000], [0.000, 4.054, 0.000], [0.000, 0.000, 11.570]],
  "species": ["Ce", "Ce", "Al", "Al", "Al", "Pd", "Pt", "Pt", "Pt", "Pt"],
  "frac_coords": [[0.000, 0.500, 0.240], [0.500, 0.000, 0.760], [0.000, 0.000, 0.000], [0.000, 0.500, 0.625], [0.500, 0.000, 0.375], [0.500, 0.500, 0.000], [0.000, 0.000, 0.500], [0.000, 0.500, 0.838], [0.500, 0.000, 0.162], [0.500, 0.500, 0.500]],
  "m_tot_mub_per_fu": 1.3,
  "energy_ev_per_atom": -6.26,
  "spacegroup": "No. 115",
  "volume_a3_per_fu": 190
}

---

Entry 5:
{
  "formula": "Tc2As2Au",
  "functional": "PBE",
  "state": "relaxed",
  "cell": [[-1.903, 1.903, 5.874], [1.903, -1.903, 5.874], [1.903, 1.903, -5.874]],
  "species": ["Tc", "Tc", "As", "As", "Au"],
  "frac_coords": [[0.111, 0.111, 0.000], [0.889, 0.889, 0.000], [0.250, 0.750, 0.500], [0.750, 0.250, 0.500], [0.500, 0.500, 0.000]],
  "m_tot_mub_per_fu": 0.0,
  "relative_energy_mev_per_atom": 33,
  "spacegroup": "No. 139",
  "volume_a3_per_fu": 85
}

---

Entry 6:
{
  "formula": "MoIrCl2",
  "functional": "PBE",
  "state": "relaxed",
  "cell": [[0.000, 3.125, 3.125], [3.125, 0.000, 3.125], [3.125, 3.125, 0.000]],
  "species": ["Mo", "Ir", "Cl", "Cl"],
  "frac_coords": [[0.000, 0.000, 0.000], [0.500, 0.500, 0.500], [0.250, 0.250, 0.250], [0.750, 0.750, 0.750]],
  "raw_formation_energy_ev_per_atom": 1.06,
  "m_tot_mub_per_fu": 0.0,
  "relative_energy_mev_per_atom": 1293,
  "spacegroup": "No. 225",
  "volume_a3_per_fu": 61
}

---

Entry 7:
{
  "formula": "Cs2B2P",
  "functional": "PBE",
  "state": "relaxed",
  "cell": [[6.427, 0.000, 0.000], [0.000, 6.427, 0.000], [0.000, 0.000, 5.631]],
  "species": ["Cs", "Cs", "Cs", "Cs", "B", "B", "B", "B", "P", "P"],
  "frac_coords": [[0.200, 0.300, 0.000], [0.300, 0.800, 0.000], [0.700, 0.200, 0.000], [0.800, 0.700, 0.000], [0.090, 0.590, 0.500], [0.410, 0.090, 0.500], [0.590, 0.910, 0.500], [0.910, 0.410, 0.500], [0.000, 0.000, 0.500], [0.500, 0.500, 0.500]],
  "m_tot_mub_per_fu": 0.0,
  "energy_ev_per_atom": -3.06,
  "spacegroup": "No. 127",
  "volume_a3_per_fu": 116
}

---

Entry 8:
{
  "formula": "NiPtS",
  "functional": "PBE",
  "state": "relaxed",
  "cell": [[5.540, -1.729, 0.000], [5.540, 1.729, 0.000], [-1.404, 0.000, 4.692]],
  "species": ["Ni", "Ni", "Pt", "Pt", "S", "S"],
  "frac_coords": [[0.000, 0.000, 0.000], [0.056, 0.056, 0.526], [0.398, 0.398, 0.630], [0.802, 0.802, 0.189], [0.242, 0.242, 0.849], [0.595, 0.595, 0.262]],
  "raw_formation_energy_ev_per_atom": -0.16,
  "m_tot_mub_per_fu": 0.0,
  "relative_energy_mev_per_atom": 13,
  "spacegroup": "No. 8",
  "volume_a3_per_fu": 45
}

---

| no. | ρ (g/cm3) |
| --- | --- |
| 1 | 6.8 |
| 2 | 10.4 |
| 3 | 10.2 |
| 4 | 10.9 |
| 5 | 10.6 |
| 6 | 9.8 |
| 7 | 4.5 |
| 8 | 10.6 |